# 1
The following is a PBE calculation of a relaxed structure of AcLuMgCu, from Alexandria via LeMat-Bulk.

Computed properties:
V   107.7 Å³/f.u.
Total magnetization   0.00 μB per cell
Symmetry   F-43m, No. 216
Raw total energy   -14.244 eV/cell

The structure in extended XYZ format:
```
4
Lattice="5.341 0.000 0.000 2.670 4.625 0.000 2.670 1.542 4.361" Properties=species:S:1:pos:R:3 pbc="T T T"
Ac 5.341 3.083 2.180
Lu 0.000 0.000 0.000
Mg 8.011 4.625 3.270
Cu 2.670 1.542 1.090
```


# 2
The following is a PBE calculation of a relaxed structure of CsAgO, from Alexandria via LeMat-Bulk.

Computed properties:
V   83.0 Å³/f.u.
Total magnetization   0.00 μB per cell
Symmetry   P2/m, No. 10
Raw total energy   -21.213 eV/cell
Energy relative to the elements, uncorrected   -0.65 eV/atom

The structure in extended XYZ format:
```
6
Lattice="6.098 -0.218 1.919 0.282 4.030 -0.447 4.033 0.594 7.913" Properties=species:S:1:pos:R:3 pbc="T T T"
O 6.184 2.347 6.620
O 4.228 2.058 2.765
Cs 7.115 1.957 3.737
Cs 3.297 2.448 5.648
Ag 3.940 0.024 2.717
Ag 6.472 4.382 6.668
```


# 3
The following is a PBE calculation of a relaxed structure of Pr3As2Pd7, from Alexandria via LeMat-Bulk.

Computed properties:
V   240.6 Å³/f.u.
Total magnetization   0.00 μB per cell
Symmetry   I4/mmm, No. 139
Raw total energy   -69.382 eV/cell

The structure in extended XYZ format:
```
12
Lattice="-0.029 2.919 -2.960 -3.988 -0.855 -0.804 -1.919 8.458 11.277" Properties=species:S:1:pos:R:3 pbc="T T T"
Pr -2.583 6.241 6.178
Pr -3.353 4.281 1.335
Pr -2.009 1.032 -1.882
As -1.024 2.474 2.449
As -4.913 8.048 5.064
Pd 0.000 0.000 0.000
Pd -3.327 9.463 6.443
Pd -5.307 7.576 7.522
Pd -2.609 1.059 1.070
Pd -0.630 2.946 -0.008
Pd -1.756 4.242 4.200
Pd -4.181 6.280 3.313
```


# 4
The following is a PBE calculation of a relaxed structure of RbCd2C, from Alexandria via LeMat-Bulk.

Computed properties:
V   127.8 Å³/f.u.
Total magnetization   1.19 μB per cell
Symmetry   Fd-3m, No. 227
Raw total energy   -18.371 eV/cell

The structure in extended XYZ format:
```
8
Lattice="7.124 0.000 0.000 0.000 7.124 0.000 3.562 3.562 5.035" Properties=species:S:1:pos:R:3 pbc="T T T"
C 3.562 3.562 0.000
C 3.562 7.124 2.518
Rb 0.000 0.000 0.000
Rb 7.124 3.562 2.518
Cd 3.562 1.781 1.259
Cd 3.562 5.343 1.259
Cd 5.343 7.124 3.776
Cd 8.905 7.124 3.776
```